[1]
Here is LiZnIn at its PBEsol-relaxed geometry from the Alexandria database. Energies are from meta-GGA SCAN.

Its space group is No. 107. For the energy relative to the elements, the calculation gives -183 meV/atom. The value obtained for the density of states at the Fermi level is 0.7 states/eV/f.u.

a = 3.518 Å, b = 3.518 Å, c = 4.917 Å
α = 110.96°, β = 110.96°, γ = 90.00°
Positions (direct):
Zn 0.328 0.328 0.656
In 0.000 0.000 0.000
Li 0.672 0.672 0.344


[2]
Here is RbEuSiS4 at its PBEsol-relaxed geometry from the Alexandria database. Energies are from meta-GGA SCAN.

Its space group is No. 19. The value obtained for the density of states at the Fermi level is 3.9 states/eV/f.u. The uncorrected formation energy is -10.146 eV/f.u.

a = 6.458 Å, b = 6.493 Å, c = 17.055 Å
α = 90.00°, β = 90.00°, γ = 90.00°
Positions (direct):
Rb 0.024 0.994 0.967
Rb 0.524 0.506 0.033
Rb 0.476 0.006 0.467
Rb 0.976 0.494 0.533
Eu 0.708 0.525 0.775
Eu 0.792 0.475 0.275
Eu 0.292 0.025 0.725
Eu 0.208 0.975 0.225
Si 0.793 0.987 0.662
Si 0.707 0.013 0.162
Si 0.207 0.487 0.838
Si 0.293 0.513 0.338
S 0.927 0.250 0.138
S 0.608 0.256 0.646
S 0.550 0.512 0.413
S 0.383 0.555 0.220
S 0.892 0.744 0.146
S 0.427 0.250 0.862
S 0.117 0.445 0.720
S 0.392 0.756 0.854
S 0.073 0.750 0.362
S 0.883 0.945 0.780
S 0.950 0.488 0.913
S 0.617 0.055 0.280
S 0.573 0.750 0.638
S 0.108 0.244 0.354
S 0.450 0.012 0.087
S 0.050 0.988 0.587


[3]
Here is LiTl2Ag at its PBEsol-relaxed geometry from the Alexandria database. Energies are from meta-GGA SCAN.

Its space group is No. 139. For the energy relative to the elements, the calculation gives -86 meV/atom. The value obtained for the density of states at the Fermi level is 1.3 states/eV/f.u.

a = 4.866 Å, b = 4.917 Å, c = 4.866 Å
α = 60.35°, β = 90.00°, γ = 119.65°
Positions (direct):
Tl 0.250 0.500 0.250
Tl 0.750 0.500 0.750
Ag 0.500 0.000 0.500
Li 0.000 0.000 0.000


[4]
Here is Ba2ReBr at its PBEsol-relaxed geometry from the Alexandria database. Energies are from meta-GGA SCAN.

Its space group is No. 216. The value obtained for the density of states at the Fermi level is 3.3 states/eV/f.u. The uncorrected formation energy is 2.944 eV/f.u.

a = 5.460 Å, b = 5.460 Å, c = 5.460 Å
α = 60.00°, β = 60.00°, γ = 60.00°
Positions (direct):
Re 0.250 0.250 0.250
Ba 0.000 0.000 0.000
Ba 0.750 0.750 0.750
Br 0.500 0.500 0.500


[5]
Here is ScCdAg2 at its PBEsol-relaxed geometry from the Alexandria database. Energies are from meta-GGA SCAN.

Its space group is No. 123. For the energy relative to the elements, the calculation gives -244 meV/atom. The value obtained for the density of states at the Fermi level is 2.0 states/eV/f.u.

a = 3.403 Å, b = 3.403 Å, c = 6.423 Å
α = 90.00°, β = 90.00°, γ = 90.00°
Positions (direct):
Sc 0.500 0.500 0.500
Ag 0.000 0.000 0.745
Ag 0.000 0.000 0.255
Cd 0.500 0.500 0.000


[6]
Here is MnZn2 at its PBEsol-relaxed geometry from the Alexandria database. Energies are from meta-GGA SCAN.

Its space group is No. 141. For the energy relative to the elements, the calculation gives -128 meV/atom. The value obtained for the density of states at the Fermi level is 2.0 states/eV/f.u.

a = 3.691 Å, b = 3.691 Å, c = 11.607 Å
α = 99.15°, β = 99.15°, γ = 90.00°
Positions (direct):
Mn 0.917 0.917 0.835
Mn 0.083 0.083 0.165
Mn 0.167 0.667 0.335
Mn 0.333 0.833 0.665
Zn 0.751 0.751 0.502
Zn 0.249 0.249 0.498
Zn 0.001 0.501 0.002
Zn 0.499 0.999 0.998
Zn 0.586 0.586 0.171
Zn 0.414 0.414 0.829
Zn 0.836 0.336 0.671
Zn 0.664 0.164 0.329


[7]
Here is Be2PtSe at its PBEsol-relaxed geometry from the Alexandria database. Energies are from meta-GGA SCAN.

Its space group is No. 6. The value obtained for the density of states at the Fermi level is 0.2 states/eV/f.u. The uncorrected formation energy is -2.077 eV/f.u.

a = 3.409 Å, b = 3.536 Å, c = 5.245 Å
α = 90.00°, β = 108.45°, γ = 90.00°
Positions (direct):
Be 0.124 0.000 0.874
Be 0.623 0.500 0.869
Pt 0.486 0.000 0.589
Se 0.268 0.500 0.167


[8]
Here is KCaS3 at its PBEsol-relaxed geometry from the Alexandria database. Energies are from meta-GGA SCAN.

Its space group is No. 221. The value obtained for the density of states at the Fermi level is 2.2 states/eV/f.u. The uncorrected formation energy is 0.395 eV/f.u.

a = 5.191 Å, b = 5.191 Å, c = 5.191 Å
α = 90.00°, β = 90.00°, γ = 90.00°
Positions (direct):
S 0.000 0.500 0.000
S 0.000 0.000 0.500
S 0.500 0.000 0.000
Ca 0.500 0.500 0.500
K 0.000 0.000 0.000


[9]
Here is LiMo2P3O13 at its PBEsol-relaxed geometry from the Alexandria database. Energies are from meta-GGA SCAN.

Its space group is No. 14. The uncorrected formation energy is -44.149 eV/f.u.

a = 6.388 Å, b = 6.990 Å, c = 22.348 Å
α = 90.00°, β = 90.00°, γ = 99.47°
Positions (direct):
Li 0.292 0.219 0.351
Li 0.208 0.281 0.851
Li 0.792 0.719 0.149
Li 0.708 0.781 0.649
Mo 0.227 0.962 0.208
Mo 0.214 0.783 0.935
Mo 0.286 0.717 0.435
Mo 0.273 0.538 0.708
Mo 0.727 0.462 0.292
Mo 0.714 0.283 0.565
Mo 0.786 0.217 0.065
Mo 0.773 0.038 0.792
P 0.874 0.345 0.918
P 0.735 0.085 0.204
P 0.765 0.415 0.704
P 0.789 0.799 0.401
P 0.711 0.701 0.901
P 0.626 0.155 0.418
P 0.374 0.845 0.582
P 0.289 0.299 0.099
P 0.126 0.655 0.082
P 0.265 0.915 0.796
P 0.211 0.201 0.599
P 0.235 0.585 0.296
O 0.228 0.289 0.661
O 0.863 0.175 0.875
O 0.995 0.785 0.433
O 0.903 0.537 0.082
O 0.791 0.026 0.390
O 0.898 0.774 0.942
O 0.786 0.282 0.979
O 0.792 0.239 0.155
O 0.028 0.442 0.310
O 0.137 0.825 0.125
O 0.005 0.215 0.567
O 0.097 0.463 0.918
O 0.209 0.974 0.610
O 0.102 0.226 0.058
O 0.207 0.688 0.236
O 0.208 0.761 0.845
O 0.214 0.718 0.021
O 0.097 0.050 0.793
O 0.229 0.476 0.434
O 0.286 0.782 0.521
O 0.292 0.739 0.345
O 0.293 0.812 0.736
O 0.291 0.526 0.110
O 0.972 0.558 0.690
O 0.253 0.439 0.777
O 0.247 0.061 0.277
O 0.272 0.211 0.161
O 0.363 0.675 0.625
O 0.271 0.024 0.934
O 0.403 0.450 0.293
O 0.528 0.942 0.190
O 0.398 0.274 0.558
O 0.505 0.715 0.933
O 0.403 0.037 0.418
O 0.597 0.963 0.582
O 0.495 0.285 0.067
O 0.602 0.726 0.442
O 0.472 0.058 0.810
O 0.597 0.550 0.707
O 0.729 0.976 0.066
O 0.637 0.325 0.375
O 0.728 0.789 0.839
O 0.753 0.939 0.723
O 0.747 0.561 0.223
O 0.772 0.711 0.339
O 0.709 0.474 0.890
O 0.707 0.188 0.264
O 0.708 0.261 0.655
O 0.714 0.218 0.479
O 0.771 0.524 0.566
O 0.903 0.950 0.207
O 0.793 0.312 0.764


[10]
Here is SbMoCl2 at its PBEsol-relaxed geometry from the Alexandria database. Energies are from meta-GGA SCAN.

Its space group is No. 47. The value obtained for the density of states at the Fermi level is 1.5 states/eV/f.u. The uncorrected formation energy is 0.942 eV/f.u.

a = 3.117 Å, b = 4.593 Å, c = 5.404 Å
α = 90.00°, β = 90.00°, γ = 90.00°
Positions (direct):
Sb 0.000 0.500 0.500
Mo 0.500 0.500 0.000
Cl 0.000 0.000 0.000
Cl 0.500 0.000 0.500


[11]
Here is TlTcB2W at its PBEsol-relaxed geometry from the Alexandria database. Energies are from meta-GGA SCAN.

Its space group is No. 123. For the energy relative to the elements, the calculation gives 3026 meV/atom. The value obtained for the density of states at the Fermi level is 2.6 states/eV/f.u.

a = 4.011 Å, b = 4.011 Å, c = 5.415 Å
α = 90.00°, β = 90.00°, γ = 90.00°
Positions (direct):
Tl 0.000 0.000 0.000
B 0.000 0.500 0.000
B 0.500 0.000 0.000
Tc 0.500 0.500 0.500
W 0.000 0.000 0.500


[12]
Here is NiBi2Sb at its PBEsol-relaxed geometry from the Alexandria database. Energies are from meta-GGA SCAN.

Its space group is No. 122. The value obtained for the density of states at the Fermi level is 2.3 states/eV/f.u. The uncorrected formation energy is 0.899 eV/f.u.

a = 6.284 Å, b = 6.284 Å, c = 7.688 Å
α = 114.12°, β = 114.12°, γ = 90.00°
Positions (direct):
Sb 0.250 0.750 0.500
Sb 0.000 0.000 0.000
Bi 0.807 0.375 0.250
Bi 0.443 0.875 0.250
Bi 0.625 0.557 0.750
Bi 0.125 0.193 0.750
Ni 0.750 0.250 0.500
Ni 0.500 0.500 0.000